A relaxed AlReHg3 crystal. Source: Alexandria, functional GGA-PBE.

Geometry as extended XYZ:
```
5
Lattice="5.262 0.000 0.000 0.000 5.262 0.000 0.000 0.000 5.262" Properties=species:S:1:pos:R:3 pbc="T T T"
Re 0.000 0.000 0.000
Hg 0.000 2.631 0.000
Hg 2.631 0.000 0.000
Hg 0.000 0.000 2.631
Al 2.631 2.631 2.631
```

## Properties
ΔE_f in eV per atom: 1.066



A relaxed Al2TeP crystal. Source: Alexandria, functional GGA-PBE.

Geometry as extended XYZ:
```
4
Lattice="3.075 0.058 0.000 -0.584 3.020 0.000 0.000 0.000 9.204" Properties=species:S:1:pos:R:3 pbc="T T T"
P 0.000 0.000 3.789
Te 1.246 1.539 7.198
Al 1.246 1.539 2.389
Al 0.000 0.000 0.430
```

## Properties
E_form (uncorrected) in eV per atom: 0.1779



A relaxed Zr2AgHg2 crystal. Source: Alexandria, functional GGA-PBE.

Geometry as extended XYZ:
```
5
Lattice="-1.315 0.451 4.631 -0.985 -4.059 -2.410 2.443 -7.160 1.390" Properties=species:S:1:pos:R:3 pbc="T T T"
Ag -0.492 -2.029 -1.205
Zr 0.800 -5.769 4.577
Hg 0.154 -3.901 1.684
Zr -0.656 -4.999 -0.965
Hg -0.010 -6.867 1.928
```

## Properties
ΔE_f in eV per atom: 0.032



A relaxed LiY2GaOs crystal. Source: Alexandria, functional GGA-PBE.

Geometry as extended XYZ:
```
5
Lattice="-3.770 0.172 3.399 0.679 -3.965 0.953 3.299 1.427 3.587" Properties=species:S:1:pos:R:3 pbc="T T T"
Li 0.000 0.000 0.000
Os 0.339 -1.983 0.476
Y 1.650 0.713 1.794
Y -1.885 0.086 1.699
Ga 0.104 -1.183 3.970
```

## Properties
ΔE_f in eV per atom: 0.439



A relaxed Th4GaOs2 crystal. Source: Alexandria, functional GGA-PBE.

Geometry as extended XYZ:
```
14
Lattice="0.109 5.903 -6.338 -1.889 -8.268 -1.759 -4.552 2.225 4.907" Properties=species:S:1:pos:R:3 pbc="T T T"
Ga -5.827 -0.385 -3.183
Os -3.567 0.852 -0.623
Th -3.458 2.554 1.720
Os -5.425 -1.784 2.821
Th -5.622 -1.487 -0.030
Th -1.062 2.289 -1.007
Os -3.669 -1.469 -4.530
Th -2.153 -1.275 -2.257
Th -3.669 1.763 -3.619
Os -0.928 2.299 -3.901
Th -3.709 4.891 -1.436
Ga -3.127 -3.545 -0.553
Th -1.498 -0.097 -5.829
Th -2.383 -0.927 1.401
```

## Properties
ΔE_f in eV per atom: -0.360



A relaxed PmSmTmAl crystal. Source: Alexandria, functional GGA-PBE.

Geometry as extended XYZ:
```
4
Lattice="3.528 0.000 0.000 0.000 3.528 0.000 0.000 0.000 9.178" Properties=species:S:1:pos:R:3 pbc="T T T"
Al 0.000 0.000 5.167
Tm 1.764 1.764 3.307
Sm 1.764 1.764 7.171
Pm 0.000 0.000 0.735
```

## Properties
ΔE_f in eV per atom: -0.181



A relaxed K2Pb5Br12 crystal. Source: Alexandria, functional GGA-PBE.

Geometry as extended XYZ:
```
19
Lattice="-0.053 8.934 -0.545 -6.063 -4.840 -5.264 -3.511 0.601 10.192" Properties=species:S:1:pos:R:3 pbc="T T T"
K -0.040 6.867 -0.419
Br -3.327 2.135 3.304
Pb -3.490 4.560 1.585
Br -6.269 -2.482 1.387
K -0.012 2.067 -0.126
Br -3.092 2.408 -0.858
Pb -6.136 0.135 2.799
Pb -6.302 4.879 7.088
Br -3.038 4.940 7.779
Br -6.587 -0.246 -3.395
Br -3.875 0.438 7.567
Br -5.751 4.256 -3.183
Pb -3.324 -0.184 -2.704
Br -6.534 2.286 5.242
Br -6.298 2.559 1.079
Br -6.510 -1.709 5.486
Br -3.115 6.403 -1.102
Br -3.357 7.177 2.997
Pb -1.755 0.300 5.096
```

## Properties
E_form (uncorrected) in eV per atom: -1.0425



A relaxed Li3YAg crystal. Source: Alexandria, functional GGA-PBE.

Geometry as extended XYZ:
```
5
Lattice="5.558 0.000 0.000 0.000 5.558 0.000 0.000 0.000 5.558" Properties=species:S:1:pos:R:3 pbc="T T T"
Y 0.000 0.000 0.000
Li 0.000 2.779 0.000
Ag 2.779 2.779 2.779
Li 2.779 0.000 0.000
Li 0.000 0.000 2.779
```

## Properties
ΔE_f in eV per atom: 1.149



Number 1: magnetic moment 0.00 μB per cell. Number 2: magnetic moment 0.00 μB per cell. Number 3: magnetic moment 0.70 μB per cell. Number 4: magnetic moment 0.00 μB per cell. Number 5: magnetic moment 0.00 μB per cell. Number 6: magnetic moment 0.00 μB per cell. Number 7: magnetic moment 0.00 μB per cell. Number 8: magnetic moment 1.88 μB per cell.